## A
Tl2BiSe3 | Alexandria | PBE | optimized geometry; D(E_F) = 0.61 states/eV/atom; SG = Immm, No. 71
1.0
-0.6851 -0.1707 -4.2598
-5.8616 -1.1793 0.9900
1.9245 7.3374 1.5848
Tl Bi Se
2 1 3
direct
0.6656 0.1656 0.3312
0.3344 0.8344 0.6688
0.0000 0.5000 0.0000
0.3495 0.3495 0.6990
0.0000 0.0000 0.0000
0.6505 0.6505 0.3010



## B
Tl2BiSe3 | Alexandria | PBE | optimized geometry; D(E_F) = 0.04 states/eV/atom; SG = C2/m, No. 12
1.0
-2.4343 -4.3039 5.5134
5.3346 -2.4460 -4.5173
4.2962 5.2062 4.2917
Tl Bi Se
4 2 6
direct
0.8334 0.1666 0.5000
0.3333 0.6667 0.0000
0.1640 0.8360 0.5000
0.5027 0.4973 0.5000
0.9998 0.0002 0.0000
0.6669 0.3331 0.0000
0.5890 0.9224 0.7804
0.0776 0.4110 0.2196
0.9335 0.5947 0.7845
0.2613 0.2668 0.7845
0.4053 0.0666 0.2155
0.7332 0.7387 0.2155



Question: of the structures shown, which is the least stable? Reply: A.